Computed, not measured: a relaxed SiBiIN2 crystal at the PBE level of DFT.

a b c (Å): 4.0800 4.0800 5.2253
angles (deg): 90.00 90.00 90.00
Closest atoms and distances in Å follow each position.
Element x y z (fractional)
Si 0.0000 0.0000 0.0000  4 N 2.04
I 0.0000 0.0000 0.5000  2 Si 2.61, 4 Bi 2.89
Bi 0.5000 0.5000 0.5000  4 I 2.89
N 0.5000 0.0000 0.0000  2 Si 2.04
N 0.0000 0.5000 0.0000  2 Si 2.04

Output
distance to the lowest polymorph of the same formula	0	kJ/mol of formula units
E_tot	-20.98	eV per formula unit
magnetization	0.0	μB/cell
space group	P4/mmm
raw formation energy	1.304	eV/atom